# Na3CdTc | the Alexandria database | PBE-GGA | optimized geometry
data_Na3CdTc
_cell_length_a 5.808
_cell_length_b 5.808
_cell_length_c 5.808
_cell_angle_alpha 90.00
_cell_angle_beta 90.00
_cell_angle_gamma 90.00
_symmetry_space_group_name_H-M 'P m -3 m'
_symmetry_Int_Tables_number 221
_symmetry_space_group_name_Hall '-P 4 2 3'
loop_
_atom_site_label
_atom_site_type_symbol
_atom_site_fract_x
_atom_site_fract_y
_atom_site_fract_z
Na1 Na 0.000 0.000 0.500
Cd1 Cd 0.500 0.500 0.500
Tc1 Tc 0.000 0.000 0.000
# Fermi-level density of states ... 5.041 states/eV per cell
# DFT total energy ... -1.92 eV/atom
# Energy above the most stable polymorph in this dataset ... 0.0000 eV/atom
# Energy of formation from the pure elements ... 1127.5 meV per atom